Record 1
A plane-wave DFT calculation with PBE was carried out for a relaxed structure of TbNd8Ho2.

The energy relative to the elements is 0.167 eV/atom. Its energy above the most stable polymorph in this dataset is 0.009 eV per atom.

Cell lengths 6.7259, 10.4039, 10.4039 Å; angles 38.24, 59.83, 59.83 degrees
Last column: nearest neighbours and their distance in Å.
Element x y z (fractional)
Nd 0.7684 0.6514 0.1744  5 Nd 3.25-3.56, 1 Tb 3.37, 1 Ho 3.49
Nd 0.1688 0.7553 0.7553  5 Nd 3.34-3.50, 4 Ho 3.40-3.69
Tb 0.0000 0.0000 0.0000  4 Nd 3.37
Nd 0.2316 0.3486 0.8256  5 Nd 3.25-3.56, 1 Tb 3.37, 1 Ho 3.49
Ho 0.4138 0.1971 0.1971  7 Nd 3.40-3.69, 1 Tb 3.78
Nd 0.2316 0.8256 0.3486  5 Nd 3.25-3.56, 1 Tb 3.37, 1 Ho 3.49
Nd 0.7256 0.5944 0.5944  6 Nd 3.38-3.77, 1 Ho 3.69
Nd 0.8312 0.2447 0.2447  5 Nd 3.34-3.50, 4 Ho 3.40-3.69
Nd 0.7684 0.1744 0.6514  5 Nd 3.25-3.56, 1 Tb 3.37, 1 Ho 3.49
Ho 0.5862 0.8029 0.8029  7 Nd 3.40-3.69, 1 Tb 3.78
Nd 0.2744 0.4056 0.4056  6 Nd 3.38-3.77, 1 Ho 3.69

---

Record 2
A plane-wave DFT calculation with PBE was carried out for a relaxed structure of Sm12Ga3N5.

The value obtained for the uncorrected formation energy is -0.818 eV/atom.

Cell lengths 13.6374, 13.6374, 13.6374 Å; angles 109.47, 109.47, 109.47 degrees
Last column: nearest neighbours and their distance in Å.
Element x y z (fractional)
Sm 0.0196 0.6153 0.7027  2 N 2.30-2.55
N 0.6250 0.7500 0.8750  4 Sm 2.30
Sm 0.3170 0.7973 0.4127  2 N 2.30-2.55
Sm 0.4043 0.3847 0.5873  2 N 2.30-2.55
N 0.5000 0.5000 0.5000  6 Sm 2.55
Sm 0.0873 0.9043 0.3847  2 N 2.30-2.55
Sm 0.4804 0.6830 0.0957  2 N 2.30-2.55
Sm 0.8847 0.2973 0.4804  2 N 2.30-2.55
Sm 0.0196 0.4043 0.8170  2 N 2.30-2.55
Sm 0.3847 0.9804 0.7973  2 N 2.30-2.55
N 0.1250 0.7500 0.3750  4 Sm 2.30
Sm 0.5957 0.9804 0.6830  2 N 2.30-2.55
Sm 0.8170 0.9043 0.0196  2 N 2.30-2.55
Sm 0.3170 0.5196 0.4043  2 N 2.30-2.55
Sm 0.7973 0.3170 0.9127  2 N 2.30-2.55
Ga 0.8750 0.7500 0.1250  8 Sm 3.08-3.16
Ga 0.8750 0.1250 0.2500  8 Sm 3.08-3.16
N 0.6250 0.8750 0.2500  4 Sm 2.30
Sm 0.7027 0.1153 0.0196  2 N 2.30-2.55
N 0.0000 0.5000 0.5000  6 Sm 2.55
Sm 0.8847 0.5873 0.9043  2 N 2.30-2.55
N 0.7500 0.1250 0.8750  4 Sm 2.30
Sm 0.5196 0.3170 0.9043  2 N 2.30-2.55
N 0.3750 0.1250 0.7500  4 Sm 2.30
Ga 0.3750 0.6250 0.2500  8 Sm 3.08-3.16
Sm 0.9127 0.0957 0.6153  2 N 2.30-2.55
Ga 0.6250 0.3750 0.7500  8 Sm 3.08-3.16
Sm 0.5957 0.6153 0.4127  2 N 2.30-2.55
Sm 0.2973 0.8847 0.9804  2 N 2.30-2.55
N 0.1250 0.3750 0.2500  4 Sm 2.30
Ga 0.7500 0.3750 0.1250  8 Sm 3.08-3.16
Ga 0.2500 0.1250 0.3750  8 Sm 3.08-3.16
Ga 0.6250 0.2500 0.3750  8 Sm 3.08-3.16
N 0.2500 0.3750 0.6250  4 Sm 2.30
Sm 0.5873 0.8847 0.4043  2 N 2.30-2.55
Sm 0.6153 0.0196 0.2027  2 N 2.30-2.55
N 0.0000 0.0000 0.0000  6 Sm 2.55
Sm 0.7027 0.5873 0.1830  2 N 2.30-2.55
N 0.5000 0.0000 0.5000  6 Sm 2.55
Sm 0.6830 0.4804 0.5957  2 N 2.30-2.55
Ga 0.2500 0.6250 0.8750  8 Sm 3.08-3.16
Sm 0.9127 0.8170 0.7973  2 N 2.30-2.55
N 0.3750 0.2500 0.1250  4 Sm 2.30
Sm 0.7973 0.4804 0.3847  2 N 2.30-2.55
N 0.0000 0.0000 0.5000  6 Sm 2.55
N 0.8750 0.6250 0.7500  4 Sm 2.30
Ga 0.3750 0.7500 0.6250  8 Sm 3.08-3.16
N 0.2500 0.8750 0.1250  4 Sm 2.30
Sm 0.8170 0.9127 0.2973  2 N 2.30-2.55
Ga 0.7500 0.8750 0.6250  8 Sm 3.08-3.16
Sm 0.9804 0.3847 0.2973  2 N 2.30-2.55
Ga 0.1250 0.2500 0.8750  8 Sm 3.08-3.16
Sm 0.5196 0.2027 0.1153  2 N 2.30-2.55
Sm 0.5873 0.7027 0.6830  2 N 2.30-2.55
Sm 0.1153 0.7027 0.5196  2 N 2.30-2.55
Sm 0.6153 0.5957 0.9127  2 N 2.30-2.55
Sm 0.1830 0.0873 0.7027  2 N 2.30-2.55
Sm 0.4804 0.7973 0.8847  2 N 2.30-2.55
Sm 0.4043 0.0196 0.3170  2 N 2.30-2.55
Sm 0.3847 0.4043 0.0873  2 N 2.30-2.55
Sm 0.0957 0.9127 0.1153  2 N 2.30-2.55
N 0.8750 0.2500 0.6250  4 Sm 2.30
Ga 0.1250 0.8750 0.7500  8 Sm 3.08-3.16
Sm 0.0957 0.1830 0.4804  2 N 2.30-2.55
Sm 0.4127 0.2973 0.3170  2 N 2.30-2.55
Sm 0.2027 0.6830 0.0873  2 N 2.30-2.55
Sm 0.9804 0.5957 0.1830  2 N 2.30-2.55
Sm 0.6830 0.2027 0.5873  2 N 2.30-2.55
N 0.5000 0.0000 0.0000  6 Sm 2.55
Sm 0.2973 0.4127 0.8170  2 N 2.30-2.55
Sm 0.4127 0.1153 0.5957  2 N 2.30-2.55
Sm 0.1153 0.4127 0.0957  2 N 2.30-2.55
Sm 0.1830 0.0957 0.9804  2 N 2.30-2.55
Sm 0.0873 0.1830 0.2027  2 N 2.30-2.55
Sm 0.2027 0.5196 0.6153  2 N 2.30-2.55
N 0.0000 0.5000 0.0000  6 Sm 2.55
Sm 0.9043 0.0873 0.8847  2 N 2.30-2.55
N 0.5000 0.5000 0.0000  6 Sm 2.55
Sm 0.9043 0.8170 0.5196  2 N 2.30-2.55
N 0.7500 0.6250 0.3750  4 Sm 2.30

---

Record 3
A plane-wave DFT calculation with PBE was carried out for a relaxed structure of RbH2Os.

Its energy above the most stable polymorph in this dataset is 0.000 eV per atom.

Cell lengths 5.5828, 5.5828, 5.5190 Å; angles 59.62, 59.62, 90.00 degrees
Last column: nearest neighbours and their distance in Å.
Element x y z (fractional)
Rb 0.2500 0.7500 0.5000  4 H 2.84
Os 0.7500 0.2500 0.5000  4 H 1.77
Os 0.0000 0.0000 0.0000  4 H 1.77
H 0.8750 0.0339 0.7500  2 Os 1.77
H 0.3750 0.2161 0.7500  2 Os 1.77
H 0.7839 0.1250 0.2500  2 Os 1.77
Rb 0.5000 0.5000 0.0000  4 H 2.84
H 0.9661 0.6250 0.2500  2 Os 1.77